Computed, not measured: an optimized crystal structure of LiLuHg at the GGA-PBE level of DFT.

```
data_LiLuHg
_symmetry_space_group_name_H-M 'P 1'
_symmetry_Int_Tables_number 1
_cell_length_a 4.5727
_cell_length_b 4.5727
_cell_length_c 4.5727
_cell_angle_alpha 60.00
_cell_angle_beta 60.00
_cell_angle_gamma 60.00
loop_
_symmetry_equiv_pos_as_xyz
'x,y,z'
loop_
_atom_site_label
_atom_site_fract_x
_atom_site_fract_y
_atom_site_fract_z
Li1 0.0000 0.0000 0.0000
Hg1 0.2500 0.2500 0.2500
Lu1 0.7500 0.7500 0.7500
```

## Properties
crystal system: cubic
SG: No. 216
uncorrected energy: -6.623 eV per cell

***

Computed, not measured: an optimized crystal structure of LuBeReTe at the GGA-PBE level of DFT.

```
data_LuBeReTe
_symmetry_space_group_name_H-M 'P 1'
_symmetry_Int_Tables_number 1
_cell_length_a 4.6271
_cell_length_b 4.6271
_cell_length_c 4.6271
_cell_angle_alpha 60.00
_cell_angle_beta 60.00
_cell_angle_gamma 60.00
loop_
_symmetry_equiv_pos_as_xyz
'x,y,z'
loop_
_atom_site_label
_atom_site_fract_x
_atom_site_fract_y
_atom_site_fract_z
Re1 0.5000 0.5000 0.5000
Lu1 0.0000 0.0000 0.0000
Te1 0.2500 0.2500 0.2500
Be1 0.7500 0.7500 0.7500
```

## Properties
offset from the most stable computed form: 0 meV per atom
crystal system: cubic
SG: No. 216

***

Computed, not measured: an optimized crystal structure of NaZrHg3Te4 at the GGA-PBE level of DFT.

```
data_NaZrHg3Te4
_symmetry_space_group_name_H-M 'P 1'
_symmetry_Int_Tables_number 1
_cell_length_a 7.2474
_cell_length_b 7.2474
_cell_length_c 7.2474
_cell_angle_alpha 90.00
_cell_angle_beta 90.00
_cell_angle_gamma 90.00
loop_
_symmetry_equiv_pos_as_xyz
'x,y,z'
loop_
_atom_site_label
_atom_site_fract_x
_atom_site_fract_y
_atom_site_fract_z
Zr1 0.5000 0.5000 0.5000
Te1 0.2767 0.2767 0.2767
Te2 0.7233 0.7233 0.2767
Te3 0.7233 0.2767 0.7233
Te4 0.2767 0.7233 0.7233
Hg1 0.5000 0.5000 0.0000
Hg2 0.0000 0.5000 0.5000
Hg3 0.5000 0.0000 0.5000
Na1 0.0000 0.0000 0.0000
```

## Properties
offset from the most stable computed form: 73 meV per atom
crystal system: cubic
SG: No. 215

***

Computed, not measured: an optimized crystal structure of Re5Ni2As12 at the GGA-PBE level of DFT.

```
data_Re5Ni2As12
_symmetry_space_group_name_H-M 'P 1'
_symmetry_Int_Tables_number 1
_cell_length_a 15.7124
_cell_length_b 12.6313
_cell_length_c 3.2346
_cell_angle_alpha 90.00
_cell_angle_beta 90.00
_cell_angle_gamma 90.00
loop_
_symmetry_equiv_pos_as_xyz
'x,y,z'
loop_
_atom_site_label
_atom_site_fract_x
_atom_site_fract_y
_atom_site_fract_z
As1 0.4018 0.4072 0.0000
As2 0.9222 0.5348 0.0000
As3 0.2431 0.7741 0.0000
As4 0.9414 0.2922 0.5000
As5 0.9088 0.8415 0.0000
As6 0.4414 0.2078 0.0000
As7 0.0778 0.4652 0.0000
As8 0.0982 0.9072 0.5000
As9 0.4222 0.9652 0.5000
As10 0.5912 0.3415 0.5000
As11 0.2569 0.2741 0.5000
As12 0.7623 0.9306 0.0000
As13 0.0586 0.7078 0.5000
As14 0.4088 0.6585 0.5000
As15 0.7377 0.4306 0.5000
As16 0.2377 0.0694 0.0000
As17 0.7569 0.2259 0.0000
As18 0.5586 0.7922 0.0000
As19 0.0912 0.1585 0.0000
As20 0.9018 0.0928 0.5000
As21 0.7431 0.7259 0.5000
As22 0.5778 0.0348 0.5000
As23 0.2623 0.5694 0.5000
As24 0.5982 0.5928 0.0000
Re1 0.7618 0.5790 0.0000
Re2 0.3983 0.8159 0.0000
Re3 0.7382 0.0790 0.5000
Re4 0.6017 0.1841 0.0000
Re5 0.2618 0.9210 0.5000
Re6 0.5000 0.5000 0.5000
Re7 0.2382 0.4210 0.0000
Re8 0.8983 0.6841 0.5000
Re9 0.0000 0.0000 0.0000
Re10 0.1017 0.3159 0.5000
Ni1 0.1525 0.6288 0.0000
Ni2 0.6525 0.8712 0.5000
Ni3 0.3475 0.1288 0.5000
Ni4 0.8475 0.3712 0.0000
```

## Properties
crystal system: orthorhombic
SG: No. 58
uncorrected energy: -262.944 eV per cell

***

Computed, not measured: an optimized crystal structure of SrCdP2O7 at the GGA-PBE level of DFT.

```
data_SrCdP2O7
_symmetry_space_group_name_H-M 'P 1'
_symmetry_Int_Tables_number 1
_cell_length_a 5.4033
_cell_length_b 8.5585
_cell_length_c 13.9229
_cell_angle_alpha 90.00
_cell_angle_beta 112.84
_cell_angle_gamma 90.00
loop_
_symmetry_equiv_pos_as_xyz
'x,y,z'
loop_
_atom_site_label
_atom_site_fract_x
_atom_site_fract_y
_atom_site_fract_z
O1 0.7381 0.8912 0.7667
O2 0.3346 0.8586 0.1592
O3 0.6930 0.8978 0.9426
O4 0.2831 0.9421 0.7742
O5 0.4765 0.1197 0.5930
O6 0.9810 0.1736 0.5461
O7 0.1924 0.2895 0.9110
O8 0.6930 0.6022 0.4426
O9 0.5235 0.6197 0.9070
O10 0.7169 0.4421 0.7258
O11 0.8076 0.7105 0.0890
O12 0.4765 0.3803 0.0930
O13 0.1924 0.2105 0.4110
O14 0.3070 0.3978 0.5574
O15 0.6654 0.3586 0.3408
O16 0.3070 0.1022 0.0574
O17 0.6654 0.1414 0.8408
O18 0.5235 0.8803 0.4070
O19 0.3346 0.6414 0.6592
O20 0.8076 0.7895 0.5890
O21 0.0190 0.6736 0.9539
O22 0.2619 0.1088 0.2333
O23 0.2831 0.5579 0.2742
O24 0.7169 0.0579 0.2258
O25 0.7381 0.6088 0.2667
O26 0.0190 0.8264 0.4539
O27 0.9810 0.3264 0.0461
O28 0.2619 0.3912 0.7333
P1 0.2305 0.2821 0.0252
P2 0.7695 0.7821 0.4748
P3 0.4152 0.4703 0.6741
P4 0.5848 0.5297 0.3259
P5 0.7695 0.7179 0.9748
P6 0.2305 0.2179 0.5252
P7 0.4152 0.0297 0.1741
P8 0.5848 0.9703 0.8259
Cd1 0.4032 0.6385 0.0943
Cd2 0.4032 0.8615 0.5943
Cd3 0.5968 0.1385 0.4057
Cd4 0.5968 0.3615 0.9057
Sr1 0.0495 0.6711 0.7704
Sr2 0.9505 0.3289 0.2296
Sr3 0.9505 0.1711 0.7296
Sr4 0.0495 0.8289 0.2704
```

## Properties
crystal system: monoclinic
SG: No. 14
uncorrected energy: -295.975 eV per cell

***

Computed, not measured: an optimized crystal structure of Sr2Ni at the GGA-PBE level of DFT.

```
data_Sr2Ni
_symmetry_space_group_name_H-M 'P 1'
_symmetry_Int_Tables_number 1
_cell_length_a 6.6564
_cell_length_b 6.6564
_cell_length_c 6.6564
_cell_angle_alpha 60.00
_cell_angle_beta 60.00
_cell_angle_gamma 60.00
loop_
_symmetry_equiv_pos_as_xyz
'x,y,z'
loop_
_atom_site_label
_atom_site_fract_x
_atom_site_fract_y
_atom_site_fract_z
Sr1 0.6250 0.6250 0.6250
Sr2 0.6250 0.1250 0.6250
Sr3 0.1250 0.6250 0.6250
Sr4 0.6250 0.6250 0.1250
Ni1 0.0000 0.0000 0.0000
Ni2 0.2500 0.2500 0.2500
```

## Properties
crystal system: cubic
SG: No. 227
uncorrected energy: -11.089 eV per cell

***

Computed, not measured: an optimized crystal structure of HfW2 at the GGA-PBE level of DFT.

```
data_HfW2
_symmetry_space_group_name_H-M 'P 1'
_symmetry_Int_Tables_number 1
_cell_length_a 5.3825
_cell_length_b 5.3825
_cell_length_c 5.3825
_cell_angle_alpha 60.00
_cell_angle_beta 60.00
_cell_angle_gamma 60.00
loop_
_symmetry_equiv_pos_as_xyz
'x,y,z'
loop_
_atom_site_label
_atom_site_fract_x
_atom_site_fract_y
_atom_site_fract_z
W1 0.1250 0.6250 0.6250
W2 0.6250 0.1250 0.6250
W3 0.6250 0.6250 0.6250
W4 0.6250 0.6250 0.1250
Hf1 0.0000 0.0000 0.0000
Hf2 0.2500 0.2500 0.2500
```

## Properties
formation energy: -0.51 eV/f.u.
crystal system: cubic
SG: No. 227

***

Computed, not measured: an optimized crystal structure of RbDyPO at the GGA-PBE level of DFT.

```
data_RbDyPO
_symmetry_space_group_name_H-M 'P 1'
_symmetry_Int_Tables_number 1
_cell_length_a 5.8022
_cell_length_b 5.8022
_cell_length_c 5.1400
_cell_angle_alpha 90.00
_cell_angle_beta 90.00
_cell_angle_gamma 90.00
loop_
_symmetry_equiv_pos_as_xyz
'x,y,z'
loop_
_atom_site_label
_atom_site_fract_x
_atom_site_fract_y
_atom_site_fract_z
Dy1 0.5000 0.5000 0.5000
Dy2 0.0000 0.0000 0.5000
O1 0.5000 0.5000 0.0000
O2 0.0000 0.0000 0.0000
P1 0.0000 0.5000 0.5005
P2 0.5000 0.0000 0.4995
Rb1 0.5000 0.0000 0.9996
Rb2 0.0000 0.5000 0.0004
```

## Properties
offset from the most stable computed form: 555 meV per atom
crystal system: tetragonal
SG: No. 123

***

Computed, not measured: an optimized crystal structure of ZnOs5S3 at the GGA-PBE level of DFT.

```
data_ZnOs5S3
_symmetry_space_group_name_H-M 'P 1'
_symmetry_Int_Tables_number 1
_cell_length_a 7.4182
_cell_length_b 7.4182
_cell_length_c 2.9449
_cell_angle_alpha 90.00
_cell_angle_beta 90.00
_cell_angle_gamma 120.00
loop_
_symmetry_equiv_pos_as_xyz
'x,y,z'
loop_
_atom_site_label
_atom_site_fract_x
_atom_site_fract_y
_atom_site_fract_z
Os1 0.3333 0.6667 0.0000
Os2 0.2860 0.0000 0.0000
Os3 0.6667 0.3333 0.0000
Os4 0.7140 0.7140 0.0000
Os5 0.0000 0.2860 0.0000
Zn1 0.0000 0.0000 0.5000
S1 0.5245 0.0000 0.5000
S2 0.4755 0.4755 0.5000
S3 0.0000 0.5245 0.5000
```

## Properties
crystal system: hexagonal
SG: No. 189
uncorrected energy: -62.469 eV per cell

***

Computed, not measured: an optimized crystal structure of Tm2PdO4 at the GGA-PBE level of DFT.

```
data_Tm2PdO4
_symmetry_space_group_name_H-M 'P 1'
_symmetry_Int_Tables_number 1
_cell_length_a 6.6065
_cell_length_b 6.6065
_cell_length_c 6.6065
_cell_angle_alpha 119.99
_cell_angle_beta 90.02
_cell_angle_gamma 119.99
loop_
_symmetry_equiv_pos_as_xyz
'x,y,z'
loop_
_atom_site_label
_atom_site_fract_x
_atom_site_fract_y
_atom_site_fract_z
O1 0.1375 0.2751 0.4126
O2 0.6125 0.2249 0.8374
O3 0.6125 0.7751 0.3876
O4 0.6124 0.2249 0.3875
O5 0.1376 0.2751 0.8625
O6 0.1626 0.7751 0.3875
O7 0.1375 0.7249 0.8624
O8 0.5874 0.7249 0.8625
Tm1 0.3750 0.2500 0.6250
Tm2 0.3750 0.7500 0.1250
Tm3 0.3750 0.7500 0.6250
Tm4 0.8750 0.2500 0.6250
Pd1 0.0000 0.0000 0.0000
Pd2 0.7500 0.5000 0.2500
```

## Properties
offset from the most stable computed form: 329 meV per atom
crystal system: cubic
SG: No. 227

***

> Number 10 is which compound?

Tm2PdO4